# 1
Compound: Al2FeAu
Source: Alexandria
Functional: GGA-PBE
Structure: optimized geometry

a = 6.880 Å, b = 6.880 Å, c = 5.475 Å
α = 90.00°, β = 90.00°, γ = 90.00°
Space group I-42d (No. 122)
One atom of each set of equivalent atoms:
Al  0.240  0.750  0.125 (multiplicity 8)
Fe  0.000  0.000  0.000 (multiplicity 4)
Au  0.000  0.000  0.500 (multiplicity 4)

Calculated values
**Total moment**: 1.72 μB per formula unit
**Energy of formation from the pure elements**: 0.16 eV/atom

---

# 2
Compound: AlFeAu2
Source: Alexandria
Functional: GGA-PBE
Structure: optimized geometry

a = 2.9518 Å, b = 2.9518 Å, c = 25.7651 Å
α = 90.00°, β = 90.00°, γ = 120.00°
Space group R-3m (No. 166, hexagonal axes)
One atom of each set of equivalent atoms:
Al  0.0000  0.0000  0.0000 (multiplicity 3)
Fe  0.0000  0.0000  0.5000 (multiplicity 3)
Au  0.0000  0.0000  0.2513 (multiplicity 6)

Calculated values
**Total moment**: 3.04 μB per formula unit
**Energy of formation from the pure elements**: 0.04 eV/atom

---

# 3
Compound: AlFeAu2
Source: Alexandria
Functional: GGA-PBE
Structure: optimized geometry

a = 2.941 Å, b = 2.971 Å, c = 7.136 Å
α = 90.00°, β = 90.16°, γ = 90.00°
Space group Pm (No. 6)
One atom of each set of equivalent atoms:
Al  0.000  0.000  0.000 (multiplicity 1)
Fe  0.499  0.500  0.788 (multiplicity 1)
Au  0.500  0.500  0.241 (multiplicity 1)
Au  0.999  0.000  0.546 (multiplicity 1)

Calculated values
**Total moment**: 2.49 μB per formula unit
**Energy of formation from the pure elements**: -0.11 eV/atom